i:
This record from Alexandria describes La3PrY2 after structural relaxation. The functional is PBE.

Its magnetization is 0.000 μB/cell.

Cell: 6.3656 6.3656 12.2328 Å, 110.38 110.38 70.26°
Positions (direct):
1 La 0.2080 0.4588 0.4166
2 La 0.3746 0.6254 0.7500
3 La 0.4588 0.2080 0.9166
4 La 0.5412 0.7920 0.0834
5 La 0.7920 0.5412 0.5834
6 La 0.6254 0.3746 0.2500
7 Y 0.0413 0.2909 0.0820
8 Y 0.2909 0.0413 0.5820
9 Y 0.7091 0.9587 0.4180
10 Y 0.9587 0.7091 0.9180
11 Pr 0.1247 0.8753 0.2500
12 Pr 0.8753 0.1247 0.7500


ii:
This record from Alexandria describes La3PrY2 after structural relaxation. The functional is PBE.

Its magnetization is 0.003 μB/cell.

Cell: 3.4774 6.7274 18.5782 Å, 90.00 90.00 90.00°
Positions (direct):
1 La 0.0000 0.0000 0.0000
2 La 0.5000 0.2788 0.1867
3 La 0.5000 0.7212 0.8133
4 La 0.0000 0.7788 0.3133
5 La 0.0000 0.2212 0.6867
6 La 0.5000 0.5000 0.5000
7 Y 0.5000 0.7809 0.1478
8 Y 0.0000 0.7191 0.6478
9 Y 0.5000 0.2191 0.8522
10 Y 0.0000 0.2809 0.3522
11 Pr 0.5000 0.5000 0.0000
12 Pr 0.0000 0.0000 0.5000


Most favorable structure: i. The second most favorable one is 22.5 kJ/mol of atoms above it.